8
Lattice="-4.6453 -2.1687 -1.1211 1.3219 -0.2083 -5.0742 -0.1711 -4.6555 -2.5670" Properties=species:S:1:pos:R:3 comment="GGA-PBE AsN2F, optimized geometry" polymorph_energy_mev_per_atom=254.7 e_form_raw_ev_per_atom=0.9843 m_tot_mub_per_cell=4.0 sg="No. 122" total_energy_ev_per_atom=-4.81 pbc="T T T"
F -1.6617 -1.1885 -3.0977
F -0.2555 -3.0262 -5.3695
N -3.2004 -2.7412 -2.0780
N 0.6223 -1.3693 -3.8520
N -1.4940 -4.3642 -3.7902
N -2.9169 -5.5904 -7.8045
As 0.0000 0.0000 0.0000
As -3.2390 -4.0064 -3.3929

***

8
Lattice="3.2471 -3.6382 0.0037 3.2471 3.6382 0.0037 -0.8348 0.0000 4.8045" Properties=species:S:1:pos:R:3 comment="GGA-PBE AsNF6, optimized geometry" e_form_raw_ev_per_atom=-0.8818 m_tot_mub_per_cell=1.9 sg="No. 148" total_energy_ev_per_atom=-3.91 pbc="T T T"
F 3.6936 -2.3026 1.0813
F 4.7817 0.2073 0.4186
F 3.4610 2.5099 1.3549
F 2.1983 -2.5099 3.4570
F 0.8776 -0.2073 4.3933
F 1.9657 2.3026 3.7306
As 0.0000 0.0000 0.0000
N 2.8297 0.0000 2.4059

***

4
Lattice="1.7380 0.0000 5.5995 -0.8690 1.5052 5.5995 -0.8690 -1.5052 5.5995" Properties=species:S:1:pos:R:3 comment="GGA-PBE AsN2F, optimized geometry" polymorph_energy_mev_per_atom=0.0 e_form_raw_ev_per_atom=0.7296 m_tot_mub_per_cell=0.0 sg="No. 166" total_energy_ev_per_atom=-5.06 pbc="T T T"
N 0.0000 0.0000 1.8173
N 0.0000 0.0000 14.9811
As 0.0000 0.0000 8.3992
F 0.0000 0.0000 0.0000

***

Question: Which formula does entry 2 have?
Answer: AsNF6